# 1
The following is a DFT calculation (GGA-PBE) of a geometry-optimized Cd2Rh structure.

Output
Volume   54 Å³/cell
D(E_F)   1.041 states/eV/f.u.
M_tot   0.000 μB/cell
Calculated formation energy   -18.6 meV/atom

a b c (Å): 4.562 4.562 3.021
angles (deg): 90.00 90.00 120.00
Positions (direct):
Cd (0.333, 0.667, 0.153)
Cd (0.667, 0.333, 0.847)
Rh (0.000, 0.000, 0.500)

***

# 2
The following is a DFT calculation (GGA-PBE) of a geometry-optimized Np2Be4SiGe3 structure.

Output
Volume   150 Å³/cell
D(E_F)   10.679 states/eV/f.u.
M_tot   8.286 μB/cell
Uncorrected formation energy   -0.123 eV per atom

a b c (Å): 4.000 4.000 9.398
angles (deg): 90.00 90.00 90.00
Positions (direct):
Np (0.000, 0.500, 0.246)
Np (0.500, 0.000, 0.754)
Be (0.000, 0.000, 0.500)
Be (0.000, 0.500, 0.873)
Be (0.500, 0.000, 0.127)
Be (0.500, 0.500, 0.500)
Si (0.500, 0.500, 0.000)
Ge (0.000, 0.000, 0.000)
Ge (0.000, 0.500, 0.632)
Ge (0.500, 0.000, 0.368)

***

# 3
The following is a DFT calculation (GGA-PBE) of a geometry-optimized Ca2Zn4Cd5 structure.

Output
Volume   241 Å³/cell
D(E_F)   4.281 states/eV/f.u.
M_tot   0.000 μB/cell
Calculated formation energy   -164.1 meV/atom

a b c (Å): 7.052 7.052 8.751
angles (deg): 128.33 128.33 49.18
Positions (direct):
Ca (0.211, 0.211, 0.211)
Ca (0.789, 0.789, 0.789)
Zn (0.250, 0.250, 0.596)
Zn (0.251, 0.251, 0.906)
Zn (0.749, 0.749, 0.094)
Zn (0.750, 0.750, 0.404)
Cd (0.252, 0.748, 0.314)
Cd (0.252, 0.748, 0.686)
Cd (0.500, 0.500, 0.000)
Cd (0.748, 0.252, 0.314)
Cd (0.748, 0.252, 0.686)

***

# 4
The following is a DFT calculation (GGA-PBE) of a geometry-optimized ZrTiNi structure.

Output
Volume   53 Å³/cell
D(E_F)   3.048 states/eV/f.u.
M_tot   0.000 μB/cell
Excess energy over the best structure of this formula in the dataset   183 meV/atom
Calculated formation energy   -100.0 meV/atom

a b c (Å): 4.020 4.020 3.789
angles (deg): 90.00 90.00 120.00
Positions (direct):
Zr (0.000, 0.000, 0.000)
Ti (0.333, 0.667, 0.500)
Ni (0.667, 0.333, 0.500)

***

# 5
The following is a DFT calculation (GGA-PBE) of a geometry-optimized HgAu5 structure.

Output
Volume   113 Å³/cell
D(E_F)   1.941 states/eV/f.u.
M_tot   0.000 μB/cell
Excess energy over the best structure of this formula in the dataset   11 meV/atom
Calculated formation energy   46.4 meV/atom

a b c (Å): 4.854 8.107 8.107
angles (deg): 20.67 90.00 90.00
Positions (direct):
Hg (0.000, 0.000, 0.000)
Au (0.000, 0.332, 0.332)
Au (0.000, 0.671, 0.671)
Au (0.500, 0.226, 0.226)
Au (0.500, 0.563, 0.563)
Au (0.500, 0.890, 0.890)

***

# 6
The following is a DFT calculation (GGA-PBE) of a geometry-optimized ScMn2Tl2Se4 structure.

Output
Volume   227 Å³/cell
D(E_F)   3.291 states/eV/f.u.
M_tot   8.968 μB/cell
Uncorrected formation energy   -0.713 eV per atom

a b c (Å): 7.808 7.808 7.863
angles (deg): 108.18 108.18 30.08
Positions (direct):
Sc (0.000, 0.000, 0.000)
Mn (0.325, 0.325, 0.028)
Mn (0.675, 0.675, 0.972)
Tl (0.133, 0.133, 0.568)
Tl (0.867, 0.867, 0.432)
Se (0.193, 0.193, 0.175)
Se (0.489, 0.489, 0.233)
Se (0.511, 0.511, 0.767)
Se (0.807, 0.807, 0.825)

***

# 7
The following is a DFT calculation (GGA-PBE) of a geometry-optimized K3TaZn structure.

Output
Volume   242 Å³/cell
D(E_F)   5.965 states/eV/f.u.
M_tot   4.616 μB/cell
Excess energy over the best structure of this formula in the dataset   0 meV/atom
Calculated formation energy   1406.6 meV/atom

a b c (Å): 6.228 6.228 6.228
angles (deg): 90.00 90.00 90.00
Positions (direct):
K (0.000, 0.000, 0.500)
K (0.000, 0.500, 0.000)
K (0.500, 0.000, 0.000)
Ta (0.500, 0.500, 0.500)
Zn (0.000, 0.000, 0.000)

***

# 8
The following is a DFT calculation (GGA-PBE) of a geometry-optimized Sm2Zn6Cd3 structure.

Output
Volume   238 Å³/cell
D(E_F)   3.768 states/eV/f.u.
M_tot   0.000 μB/cell
Calculated formation energy   -106.5 meV/atom

a b c (Å): 7.353 7.353 4.435
angles (deg): 90.00 90.00 97.27
Positions (direct):
Sm (0.212, 0.212, 0.000)
Sm (0.788, 0.788, 0.000)
Zn (0.111, 0.889, 0.500)
Zn (0.158, 0.530, 0.500)
Zn (0.470, 0.842, 0.500)
Zn (0.530, 0.158, 0.500)
Zn (0.842, 0.470, 0.500)
Zn (0.889, 0.111, 0.500)
Cd (0.264, 0.736, 0.000)
Cd (0.500, 0.500, 0.500)
Cd (0.736, 0.264, 0.000)

***

# 9
The following is a DFT calculation (GGA-PBE) of a geometry-optimized Na4TcO5 structure.

Output
Volume   134 Å³/cell
M_tot   1.000 μB/cell
Uncorrected formation energy   -1.569 eV per atom

a b c (Å): 5.685 5.685 5.685
angles (deg): 102.37 102.37 124.85
Positions (direct):
Na (0.094, 0.697, 0.791)
Na (0.303, 0.094, 0.397)
Na (0.697, 0.906, 0.603)
Na (0.906, 0.303, 0.209)
Tc (0.460, 0.460, 0.000)
O (0.121, 0.121, 0.000)
O (0.307, 0.474, 0.673)
O (0.474, 0.801, 0.166)
O (0.635, 0.307, 0.834)
O (0.801, 0.635, 0.327)

***

# 10
The following is a DFT calculation (GGA-PBE) of a geometry-optimized PmNd3Tm2 structure.

Output
Volume   399 Å³/cell
D(E_F)   9.231 states/eV/f.u.
M_tot   0.000 μB/cell
Excess energy over the best structure of this formula in the dataset   0 meV/atom
Calculated formation energy   57.8 meV/atom

a b c (Å): 6.730 6.730 9.058
angles (deg): 98.60 98.60 94.97
Positions (direct):
Pm (0.061, 0.939, 0.750)
Pm (0.939, 0.061, 0.250)
Nd (0.187, 0.354, 0.018)
Nd (0.354, 0.187, 0.518)
Nd (0.391, 0.609, 0.750)
Nd (0.609, 0.391, 0.250)
Nd (0.646, 0.813, 0.482)
Nd (0.813, 0.646, 0.982)
Tm (0.122, 0.623, 0.379)
Tm (0.377, 0.878, 0.121)
Tm (0.623, 0.122, 0.879)
Tm (0.878, 0.377, 0.621)

***

# 11
The following is a DFT calculation (GGA-PBE) of a geometry-optimized GaHgPd2Se structure.

Output
Volume   122 Å³/cell
D(E_F)   1.184 states/eV/f.u.
M_tot   0.000 μB/cell
Uncorrected formation energy   0.207 eV per atom

a b c (Å): 4.763 4.763 5.392
angles (deg): 90.00 90.00 90.00
Positions (direct):
Ga (0.000, 0.000, 0.000)
Hg (0.500, 0.500, 0.000)
Pd (0.000, 0.500, 0.500)
Pd (0.500, 0.000, 0.500)
Se (0.500, 0.500, 0.500)

***

# 12
The following is a DFT calculation (GGA-PBE) of a geometry-optimized AlSn2PH24C8 structure.

Output
Volume   923 Å³/cell
Energy   -4.91 eV/atom
D(E_F)   0.000 states/eV/f.u.
M_tot   0.000 μB/cell

a b c (Å): 9.791 10.271 10.486
angles (deg): 76.79 80.90 64.26
Positions (direct):
Al (0.020, 0.129, 0.074)
Al (0.980, 0.871, 0.926)
Sn (0.165, 0.159, 0.680)
Sn (0.286, 0.689, 0.227)
Sn (0.714, 0.311, 0.773)
Sn (0.835, 0.841, 0.320)
P (0.032, 0.879, 0.146)
P (0.968, 0.121, 0.854)
H (0.009, 0.712, 0.535)
H (0.070, 0.092, 0.480)
H (0.076, 0.449, 0.697)
H (0.131, 0.734, 0.736)
H (0.167, 0.611, 0.888)
H (0.185, 0.191, 0.412)
H (0.195, 0.474, 0.364)
H (0.219, 0.238, 0.034)
H (0.238, 0.337, 0.790)
H (0.251, 0.447, 0.198)
H (0.254, 0.737, 0.482)
H (0.260, 0.098, 0.174)
H (0.261, 0.381, 0.615)
H (0.262, 0.730, 0.838)
H (0.313, 0.051, 0.016)
H (0.326, 0.859, 0.374)
H (0.377, 0.877, 0.676)
H (0.392, 0.392, 0.311)
H (0.417, 0.943, 0.803)
H (0.429, 0.410, 0.891)
H (0.438, 0.668, 0.984)
H (0.450, 0.671, 0.424)
H (0.468, 0.000, 0.636)
H (0.482, 0.785, 0.058)
H (0.518, 0.215, 0.942)
H (0.532, 0.000, 0.364)
H (0.550, 0.329, 0.576)
H (0.562, 0.332, 0.016)
H (0.571, 0.590, 0.109)
H (0.583, 0.057, 0.197)
H (0.608, 0.608, 0.689)
H (0.623, 0.123, 0.324)
H (0.674, 0.141, 0.626)
H (0.687, 0.949, 0.984)
H (0.738, 0.270, 0.162)
H (0.739, 0.619, 0.385)
H (0.740, 0.902, 0.826)
H (0.746, 0.263, 0.518)
H (0.749, 0.553, 0.802)
H (0.762, 0.663, 0.210)
H (0.781, 0.762, 0.966)
H (0.805, 0.526, 0.636)
H (0.815, 0.809, 0.588)
H (0.833, 0.389, 0.112)
H (0.869, 0.266, 0.264)
H (0.924, 0.551, 0.303)
H (0.930, 0.908, 0.520)
H (0.991, 0.288, 0.465)
C (0.093, 0.186, 0.486)
C (0.153, 0.723, 0.839)
C (0.187, 0.356, 0.698)
C (0.223, 0.127, 0.074)
C (0.280, 0.475, 0.282)
C (0.334, 0.746, 0.398)
C (0.383, 0.972, 0.702)
C (0.466, 0.683, 0.075)
C (0.534, 0.317, 0.925)
C (0.617, 0.028, 0.298)
C (0.666, 0.254, 0.602)
C (0.720, 0.525, 0.718)
C (0.777, 0.873, 0.926)
C (0.813, 0.644, 0.302)
C (0.847, 0.277, 0.161)
C (0.907, 0.814, 0.514)

***

# 13
The following is a DFT calculation (GGA-PBE) of a geometry-optimized Pm2ErPuSb4 structure.

Output
Volume   248 Å³/cell
D(E_F)   16.309 states/eV/f.u.
M_tot   5.025 μB/cell
Uncorrected formation energy   -1.006 eV per atom

a b c (Å): 7.684 4.446 7.690
angles (deg): 90.00 109.42 90.00
Positions (direct):
Pm (0.000, 0.000, 0.000)
Pm (0.500, 0.500, 0.000)
Er (0.000, 0.500, 0.500)
Pu (0.500, 0.000, 0.500)
Sb (0.246, 0.000, 0.742)
Sb (0.251, 0.500, 0.257)
Sb (0.749, 0.500, 0.743)
Sb (0.754, 0.000, 0.258)

***

# 14
The following is a DFT calculation (GGA-PBE) of a geometry-optimized Li2Pu2NpO6 structure.

Output
Volume   160 Å³/cell
D(E_F)   22.096 states/eV/f.u.
M_tot   13.000 μB/cell
Uncorrected formation energy   -2.388 eV per atom

a b c (Å): 6.449 6.449 6.449
angles (deg): 53.21 53.21 53.21
Positions (direct):
Li (0.076, 0.076, 0.076)
Li (0.924, 0.924, 0.924)
Pu (0.302, 0.302, 0.302)
Pu (0.698, 0.698, 0.698)
Np (0.500, 0.500, 0.500)
O (0.253, 0.253, 0.711)
O (0.253, 0.711, 0.253)
O (0.289, 0.747, 0.747)
O (0.711, 0.253, 0.253)
O (0.747, 0.289, 0.747)
O (0.747, 0.747, 0.289)

***

# 15
The following is a DFT calculation (GGA-PBE) of a geometry-optimized Ta2TlTe structure.

Output
Volume   86 Å³/cell
D(E_F)   3.521 states/eV/f.u.
M_tot   0.000 μB/cell
Excess energy over the best structure of this formula in the dataset   280 meV/atom
Uncorrected formation energy   0.450 eV per atom

a b c (Å): 5.375 5.375 5.247
angles (deg): 107.35 107.35 36.78
Positions (direct):
Ta (0.000, 0.000, 0.000)
Ta (0.711, 0.711, 0.278)
Tl (0.469, 0.469, 0.473)
Te (0.247, 0.247, 0.837)

***

# 16
The following is a DFT calculation (GGA-PBE) of a geometry-optimized TmZnGeRh structure.

Output
Volume   68 Å³/cell
D(E_F)   1.265 states/eV/f.u.
M_tot   0.000 μB/cell
Calculated formation energy   -557.0 meV/atom

a b c (Å): 4.578 4.578 4.578
angles (deg): 60.00 60.00 60.00
Positions (direct):
Tm (0.000, 0.000, 0.000)
Zn (0.750, 0.750, 0.750)
Ge (0.250, 0.250, 0.250)
Rh (0.500, 0.500, 0.500)

***

# 17
The following is a DFT calculation (GGA-PBE) of a geometry-optimized Pm2Sm3Ir3 structure.

Output
Volume   505 Å³/cell
D(E_F)   5.138 states/eV/f.u.
M_tot   0.000 μB/cell
Calculated formation energy   -489.7 meV/atom

a b c (Å): 7.020 7.020 13.852
angles (deg): 90.21 90.21 47.74
Positions (direct):
Pm (0.000, 0.000, 0.000)
Pm (0.001, 0.001, 0.365)
Pm (0.334, 0.334, 0.865)
Pm (0.614, 0.614, 0.550)
Sm (0.336, 0.336, 0.499)
Sm (0.413, 0.413, 0.183)
Sm (0.611, 0.611, 0.817)
Sm (0.722, 0.722, 0.049)
Sm (0.723, 0.723, 0.316)
Sm (0.921, 0.921, 0.683)
Ir (0.449, 0.449, 0.682)
Ir (0.513, 0.513, 0.995)
Ir (0.514, 0.514, 0.371)
Ir (0.820, 0.820, 0.871)
Ir (0.823, 0.823, 0.494)
Ir (0.885, 0.885, 0.183)

***

# 18
The following is a DFT calculation (GGA-PBE) of a geometry-optimized NaNbTc3 structure.

Output
Volume   111 Å³/cell
D(E_F)   6.443 states/eV/f.u.
M_tot   3.282 μB/cell
Excess energy over the best structure of this formula in the dataset   0 meV/atom
Calculated formation energy   1636.9 meV/atom

a b c (Å): 4.811 4.811 4.811
angles (deg): 90.00 90.00 90.00
Positions (direct):
Na (0.000, 0.000, 0.000)
Nb (0.500, 0.500, 0.500)
Tc (0.000, 0.500, 0.500)
Tc (0.500, 0.000, 0.500)
Tc (0.500, 0.500, 0.000)

***

# 19
The following is a DFT calculation (GGA-PBE) of a geometry-optimized Ca2Zn4CdPt3 structure.

Output
Volume   196 Å³/cell
D(E_F)   4.155 states/eV/f.u.
M_tot   0.000 μB/cell
Calculated formation energy   -590.3 meV/atom

a b c (Å): 4.096 4.096 11.686
angles (deg): 90.00 90.00 90.00
Positions (direct):
Ca (0.000, 0.500, 0.231)
Ca (0.500, 0.000, 0.769)
Zn (0.000, 0.000, 0.000)
Zn (0.000, 0.500, 0.648)
Zn (0.500, 0.000, 0.352)
Zn (0.500, 0.500, 0.000)
Cd (0.000, 0.000, 0.500)
Pt (0.000, 0.500, 0.863)
Pt (0.500, 0.000, 0.137)
Pt (0.500, 0.500, 0.500)

***

# 20
The following is a DFT calculation (GGA-PBE) of a geometry-optimized Rb4SeCl2 structure.

Output
Volume   576 Å³/cell
D(E_F)   0.000 states/eV/f.u.
M_tot   0.134 μB/cell
Excess energy over the best structure of this formula in the dataset   0 meV/atom
Uncorrected formation energy   -1.534 eV per atom

a b c (Å): 9.079 9.079 9.079
angles (deg): 108.83 108.83 110.77
Positions (direct):
Rb (0.184, 0.251, 0.567)
Rb (0.184, 0.617, 0.933)
Rb (0.251, 0.184, 0.067)
Rb (0.383, 0.816, 0.567)
Rb (0.617, 0.184, 0.433)
Rb (0.749, 0.816, 0.933)
Rb (0.816, 0.383, 0.067)
Rb (0.816, 0.749, 0.433)
Se (0.125, 0.875, 0.250)
Se (0.875, 0.125, 0.750)
Cl (0.000, 0.500, 0.500)
Cl (0.500, 0.000, 0.000)
Cl (0.500, 0.500, 0.000)
Cl (0.500, 0.500, 0.500)